No. 1
This record from OQMD describes a geometry-optimized Ho5Er2Te2Ir2 structure. The functional is PBE. Values from VASP.

Summary:
E_tot: -6.020 eV/atom
Size of the total moment: 0.00 μB/atom

Cell and atoms, written as Quantum ESPRESSO input:
```
&SYSTEM
  ibrav = 0, nat = 11, ntyp = 4
/
ATOMIC_SPECIES
Er 167.26 Er.upf
Ho 164.93 Ho.upf
Ir 192.22 Ir.upf
Te 127.60 Te.upf
CELL_PARAMETERS angstrom
-5.889 -6.346 -3.533
4.420 -1.811 8.038
-6.679 3.663 -5.423
ATOMIC_POSITIONS angstrom
Er -2.400 -0.941 -1.407
Er -10.328 -2.633 -7.057
Ho -2.447 -3.768 0.554
Ho -5.017 -3.149 -2.105
Ho -1.397 -0.562 2.129
Ho -8.328 -3.855 -4.464
Ho -5.447 0.680 -2.247
Ir 1.484 -0.509 4.581
Ir -4.490 -1.784 0.324
Te -1.349 -7.492 4.138
Te -6.312 -1.499 -4.391
```



No. 2
This record from OQMD describes a geometry-optimized KHoEr structure. The functional is PBE. Values from VASP.

Summary:
E_tot: -2.228 eV/atom
Size of the total moment: 0.20 μB/atom

Cell and atoms, written as Quantum ESPRESSO input:
```
&SYSTEM
  ibrav = 0, nat = 3, ntyp = 3
/
ATOMIC_SPECIES
Er 167.26 Er.upf
Ho 164.93 Ho.upf
K 39.10 K.upf
CELL_PARAMETERS angstrom
0.000 4.130 4.130
4.130 0.000 4.130
4.130 4.130 0.000
ATOMIC_POSITIONS angstrom
Er 0.000 0.000 0.000
Ho 2.065 2.065 2.065
K 6.194 6.194 6.194
```